No. 1
Na3AcNp2Te6 | PBE | optimized geometry

CIF file:
```
data_Na3AcNp2Te6
_chemical_formula_sum 'Na6 Ac2 Np4 Te12'
_symmetry_space_group_name_H-M 'C 1 2/m 1'
_symmetry_Int_Tables_number 12
_symmetry_space_group_name_Hall '-C 2y'
_cell_length_a 7.9557
_cell_length_b 13.7780
_cell_length_c 7.9773
_cell_angle_alpha 90.00
_cell_angle_beta 109.57
_cell_angle_gamma 90.00
loop_
_atom_site_label
_atom_site_type_symbol
_atom_site_fract_x
_atom_site_fract_y
_atom_site_fract_z
Na1 Na 0.0000 0.0000 0.0000
Na2 Na 0.0000 0.3371 0.0000
Ac1 Ac 0.0000 0.5000 0.5000
Np1 Np 0.0000 0.1671 0.5000
Te1 Te 0.2314 0.0000 0.7401
Te2 Te 0.2453 0.1744 0.2608
```

Volume   34.33 A^3/atom
VASP energy   -129.31 eV/cell
Spin magnetization   16.00 Bohr magnetons per cell
ΔE_f (raw)   -11.86 eV/f.u.
Fermi-level density of states   19.9 states/eV/f.u.

***

No. 2
Na4AcO4 | PBE | optimized geometry

CIF file:
```
data_Na4AcO4
_chemical_formula_sum 'Na8 Ac2 O8'
_symmetry_space_group_name_H-M 'C 1 2/m 1'
_symmetry_Int_Tables_number 12
_symmetry_space_group_name_Hall '-C 2y'
_cell_length_a 11.8050
_cell_length_b 3.6805
_cell_length_c 8.5445
_cell_angle_alpha 90.00
_cell_angle_beta 121.92
_cell_angle_gamma 90.00
loop_
_atom_site_label
_atom_site_type_symbol
_atom_site_fract_x
_atom_site_fract_y
_atom_site_fract_z
Na1 Na 0.1335 0.0000 0.3945
Na2 Na 0.2033 0.5000 0.8183
Ac1 Ac 0.0000 0.5000 0.0000
O1 O 0.0812 0.0000 0.8830
O2 O 0.2077 0.5000 0.2933
```

Volume   17.51 A^3/atom
VASP energy   -89.43 eV/cell
Spin magnetization   2.09 Bohr magnetons per cell
ΔE_f (raw)   -15.50 eV/f.u.
Fermi-level density of states   5.5 states/eV/f.u.

***

No. 3
NaAcO | PBE | optimized geometry

CIF file:
```
data_NaAcO
_chemical_formula_sum 'Na4 Ac4 O4'
_symmetry_space_group_name_H-M 'P n m a'
_symmetry_Int_Tables_number 62
_symmetry_space_group_name_Hall '-P 2ac 2n'
_cell_length_a 6.5637
_cell_length_b 4.3875
_cell_length_c 13.3546
_cell_angle_alpha 90.00
_cell_angle_beta 90.00
_cell_angle_gamma 90.00
loop_
_atom_site_label
_atom_site_type_symbol
_atom_site_fract_x
_atom_site_fract_y
_atom_site_fract_z
Na1 Na 0.0652 0.2500 0.1063
Ac1 Ac 0.0264 0.7500 0.3836
O1 O 0.0735 0.7500 0.5622
```

E above lowest polymorph   0.000 eV per atom
Volume   32.05 A^3/atom
VASP energy   -62.18 eV/cell
Spin magnetization   0.00 Bohr magnetons per cell
ΔE_f (raw)   -5.16 eV/f.u.
Fermi-level density of states   1.5 states/eV/f.u.